A relaxed SmCu2Au10 crystal. Source: Alexandria via LeMat-Bulk, functional PBE.

Cell: 5.4488 13.1330 13.5506 Å, 90.00 90.00 90.00°
Space group Fmmm (No. 69)
Symmetry-distinct sites (fractional):
Sm (0.0000, 0.0000, 0.0000) x4
Cu (0.2500, 0.2500, 0.0000) x8
Au (0.0000, 0.1112, 0.3971) x16
Au (0.0000, 0.1774, 0.1619) x16
Au (0.2500, 0.0000, 0.2500) x8

Summary:
Energy of formation from the pure elements in kJ/mol of atoms: -20.46



A relaxed KCo2Ru crystal. Source: Alexandria via LeMat-Bulk, functional PBE.

Cell: 2.6462 3.9908 7.3002 Å, 90.00 100.34 90.00°
Space group Pm (No. 6)
Symmetry-distinct sites (fractional):
K (0.0000, 0.0000, 0.0000) x1
Co (0.2446, 0.0000, 0.4829) x1
Co (0.3340, 0.5000, 0.6597) x1
Ru (0.6881, 0.5000, 0.3674) x1

Summary:
Excess energy over the best structure of this formula in the dataset in meV/atom: 112
Energy of formation from the pure elements in kJ/mol of atoms: 77.43



A relaxed ThGa2Au4 crystal. Source: Alexandria via LeMat-Bulk, functional PBE.

Cell: 17.8878 4.5799 6.8282 Å, 90.00 90.00 90.00°
Space group Pnma (No. 62)
Symmetry-distinct sites (fractional):
Th (0.1357, 0.2500, 0.0039) x4
Ga (0.0387, 0.7500, 0.2379) x4
Ga (0.2222, 0.2500, 0.5133) x4
Au (0.0341, 0.7500, 0.8064) x4
Au (0.0765, 0.2500, 0.5108) x4
Au (0.1826, 0.7500, 0.3026) x4
Au (0.1899, 0.7500, 0.7174) x4

Summary:
Energy of formation from the pure elements in kJ/mol of atoms: -45.60



A relaxed TbPrPI crystal. Source: Alexandria via LeMat-Bulk, functional PBE.

Cell: 4.1414 4.1414 22.9308 Å, 90.00 90.00 120.00°
Space group R3m (No. 160, hexagonal axes)
Symmetry-distinct sites (fractional):
Tb (0.0000, 0.0000, 0.0000) x3
Pr (0.0000, 0.0000, 0.7952) x3
P (0.0000, 0.0000, 0.3916) x3
I (0.0000, 0.0000, 0.5682) x3

Summary:
Energy relative to the elements, uncorrected in eV per atom: -1.354



A relaxed Tb2Ag2Hg crystal. Source: Alexandria via LeMat-Bulk, functional PBE.

Cell: 5.2719 5.2834 8.8225 Å, 89.92 72.71 89.86°
Space group P-1 (No. 2)
Symmetry-distinct sites (fractional):
Tb (0.1399, 0.2512, 0.2196) x2
Tb (0.3594, 0.2489, 0.7804) x2
Ag (0.0431, 0.7510, 0.4156) x2
Ag (0.4584, 0.7491, 0.5844) x2
Hg (0.2505, 0.7502, 0.0000) x2

Summary:
Energy of formation from the pure elements in kJ/mol of atoms: -36.06



A relaxed Pm3Nd3CoHg2 crystal. Source: Alexandria via LeMat-Bulk, functional PBE.

Cell: 8.8878 8.8878 3.7495 Å, 90.00 90.00 120.00°
Space group P-62m (No. 189)
Symmetry-distinct sites (fractional):
Pm (0.0000, 0.7683, 0.0000) x3
Nd (0.0000, 0.4060, 0.5000) x3
Co (0.0000, 0.0000, 0.5000) x1
Hg (0.3333, 0.6667, 0.0000) x2

Summary:
Energy of formation from the pure elements in kJ/mol of atoms: -24.01



Which spin magnetization belongs to each record? In order, 0.00 3.40 0.00 0.00 0.00 0.00 Bohr magnetons per cell.